A geometry-optimized Th2MgTl structure, computed with PBE-GGA.

Unit cell a=4.822 b=4.822 c=4.878 alpha=90.00 beta=90.00 gamma=90.00
Fractional coordinates of all 4 atoms:
Th: 0.000 0.500 0.000
Th: 0.500 0.000 0.000
Mg: 0.000 0.000 0.500
Tl: 0.500 0.500 0.500

Space group   No. 123


A geometry-optimized ThMgTl structure, computed with PBE-GGA.

Unit cell a=4.517 b=4.517 c=8.059 alpha=90.00 beta=90.00 gamma=90.00
Fractional coordinates of all 6 atoms:
Th: 0.250 0.250 0.143
Th: 0.750 0.750 0.857
Mg: 0.250 0.750 0.500
Mg: 0.750 0.250 0.500
Tl: 0.250 0.250 0.740
Tl: 0.750 0.750 0.260

Space group   No. 129


A geometry-optimized ThMgTlZn structure, computed with PBE-GGA.

Unit cell a=5.179 b=5.179 c=5.179 alpha=60.00 beta=60.00 gamma=60.00
Fractional coordinates of all 4 atoms:
Th: 0.000 0.000 0.000
Mg: 0.500 0.500 0.500
Tl: 0.250 0.250 0.250
Zn: 0.750 0.750 0.750

Space group   No. 216


A geometry-optimized Tm12Th5Mg structure, computed with PBE-GGA.

Unit cell a=10.553 b=10.553 c=4.946 alpha=90.00 beta=90.00 gamma=90.25
Fractional coordinates of all 18 atoms:
Tm: 0.003 0.333 0.500
Tm: 0.162 0.838 0.000
Tm: 0.171 0.501 0.000
Tm: 0.333 0.003 0.500
Tm: 0.333 0.667 0.500
Tm: 0.499 0.829 0.000
Tm: 0.501 0.171 0.000
Tm: 0.667 0.333 0.500
Tm: 0.667 0.997 0.500
Tm: 0.829 0.499 0.000
Tm: 0.838 0.162 0.000
Tm: 0.997 0.667 0.500
Th: 0.000 0.000 0.500
Th: 0.169 0.169 0.000
Th: 0.332 0.332 0.500
Th: 0.668 0.668 0.500
Th: 0.831 0.831 0.000
Mg: 0.500 0.500 0.000

Space group   No. 65


A geometry-optimized Tm2ThMg structure, computed with PBE-GGA.

Unit cell a=5.503 b=5.503 c=5.503 alpha=60.00 beta=60.00 gamma=60.00
Fractional coordinates of all 4 atoms:
Tm: 0.250 0.250 0.250
Tm: 0.750 0.750 0.750
Th: 0.000 0.000 0.000
Mg: 0.500 0.500 0.500

Space group   No. 225
Offset from the most stable computed form   4.98 kcal/mol of atoms


A geometry-optimized Tm2ThMg structure, computed with PBE-GGA.

Unit cell a=3.556 b=3.556 c=9.160 alpha=90.00 beta=90.00 gamma=90.00
Fractional coordinates of all 4 atoms:
Tm: 0.000 0.000 0.239
Tm: 0.000 0.000 0.761
Th: 0.500 0.500 0.500
Mg: 0.500 0.500 0.000

Space group   No. 123
Offset from the most stable computed form   0.00 kcal/mol of atoms


A geometry-optimized Tm2ThMg structure, computed with PBE-GGA.

Unit cell a=11.285 b=11.285 c=11.285 alpha=17.88 beta=17.88 gamma=17.88
Fractional coordinates of all 4 atoms:
Tm: 0.000 0.000 0.000
Tm: 0.166 0.166 0.166
Th: 0.583 0.583 0.583
Mg: 0.749 0.749 0.749

Space group   No. 160
Offset from the most stable computed form   1.48 kcal/mol of atoms


A geometry-optimized Tm4ThMg structure, computed with PBE-GGA.

Unit cell a=3.536 b=3.536 c=14.190 alpha=90.00 beta=90.00 gamma=90.00
Fractional coordinates of all 6 atoms:
Tm: 0.000 0.000 0.153
Tm: 0.000 0.000 0.847
Tm: 0.500 0.500 0.327
Tm: 0.500 0.500 0.673
Th: 0.000 0.000 0.500
Mg: 0.500 0.500 0.000

Space group   No. 123
Offset from the most stable computed form   0.00 kcal/mol of atoms


A geometry-optimized TmThMg4 structure, computed with PBE-GGA.

Unit cell a=6.017 b=6.017 c=6.017 alpha=60.00 beta=60.00 gamma=60.00
Fractional coordinates of all 6 atoms:
Tm: 0.000 0.000 0.000
Th: 0.750 0.750 0.750
Mg: 0.375 0.375 0.375
Mg: 0.375 0.375 0.876
Mg: 0.375 0.876 0.375
Mg: 0.876 0.375 0.375

Space group   No. 216


A geometry-optimized Tm4ThMg structure, computed with PBE-GGA.

Unit cell a=8.146 b=8.146 c=6.576 alpha=109.84 beta=109.84 gamma=102.22
Fractional coordinates of all 12 atoms:
Tm: 0.024 0.646 0.247
Tm: 0.092 0.238 0.242
Tm: 0.238 0.092 0.742
Tm: 0.354 0.976 0.253
Tm: 0.646 0.024 0.747
Tm: 0.762 0.908 0.258
Tm: 0.908 0.762 0.758
Tm: 0.976 0.354 0.753
Th: 0.312 0.688 0.750
Th: 0.688 0.312 0.250
Mg: 0.417 0.583 0.250
Mg: 0.583 0.417 0.750

Space group   No. 15
Offset from the most stable computed form   2.38 kcal/mol of atoms


A geometry-optimized Tm2ThMg5 structure, computed with PBE-GGA.

Unit cell a=8.392 b=8.392 c=8.392 alpha=143.46 beta=143.46 gamma=52.64
Fractional coordinates of all 8 atoms:
Tm: 0.246 0.246 0.000
Tm: 0.754 0.754 0.000
Th: 0.500 0.500 0.000
Mg: 0.000 0.000 0.000
Mg: 0.125 0.625 0.500
Mg: 0.375 0.875 0.500
Mg: 0.625 0.125 0.500
Mg: 0.875 0.375 0.500

Space group   No. 139


A geometry-optimized TmThMg6 structure, computed with PBE-GGA.

Unit cell a=6.980 b=6.980 c=4.210 alpha=90.00 beta=90.00 gamma=90.00
Fractional coordinates of all 8 atoms:
Tm: 0.000 0.000 0.000
Th: 0.500 0.500 0.000
Mg: 0.000 0.500 0.000
Mg: 0.243 0.243 0.500
Mg: 0.243 0.757 0.500
Mg: 0.500 0.000 0.000
Mg: 0.757 0.243 0.500
Mg: 0.757 0.757 0.500

Space group   No. 123


A geometry-optimized Tm2ThMg structure, computed with PBE-GGA.

Unit cell a=4.866 b=4.866 c=4.931 alpha=90.00 beta=90.00 gamma=90.00
Fractional coordinates of all 4 atoms:
Tm: 0.000 0.500 0.000
Tm: 0.500 0.000 0.000
Th: 0.000 0.000 0.500
Mg: 0.500 0.500 0.500

Space group   No. 123
Offset from the most stable computed form   2.23 kcal/mol of atoms


A geometry-optimized Tm6ThMg structure, computed with PBE-GGA.

Unit cell a=4.966 b=4.966 c=9.665 alpha=90.00 beta=90.00 gamma=90.00
Fractional coordinates of all 8 atoms:
Tm: 0.000 0.000 0.000
Tm: 0.000 0.000 0.500
Tm: 0.000 0.500 0.248
Tm: 0.000 0.500 0.752
Tm: 0.500 0.000 0.248
Tm: 0.500 0.000 0.752
Th: 0.500 0.500 0.500
Mg: 0.500 0.500 0.000

Space group   No. 123


A geometry-optimized Tm5ThMg4 structure, computed with PBE-GGA.

Unit cell a=3.683 b=3.683 c=20.190 alpha=90.00 beta=90.00 gamma=90.00
Fractional coordinates of all 10 atoms:
Tm: 0.000 0.000 0.000
Tm: 0.000 0.000 0.188
Tm: 0.000 0.000 0.384
Tm: 0.000 0.000 0.616
Tm: 0.000 0.000 0.812
Th: 0.500 0.500 0.500
Mg: 0.500 0.500 0.095
Mg: 0.500 0.500 0.285
Mg: 0.500 0.500 0.715
Mg: 0.500 0.500 0.905

Space group   No. 123


A geometry-optimized Tm3ThMg4 structure, computed with PBE-GGA.

Unit cell a=5.307 b=5.307 c=7.618 alpha=90.00 beta=90.00 gamma=90.00
Fractional coordinates of all 8 atoms:
Tm: 0.000 0.000 0.000
Tm: 0.000 0.000 0.500
Tm: 0.500 0.500 0.000
Th: 0.500 0.500 0.500
Mg: 0.000 0.500 0.244
Mg: 0.000 0.500 0.756
Mg: 0.500 0.000 0.244
Mg: 0.500 0.000 0.756

Space group   No. 123


A geometry-optimized Tm2ThMg3 structure, computed with PBE-GGA.

Unit cell a=3.596 b=3.596 c=12.561 alpha=90.00 beta=90.00 gamma=90.00
Fractional coordinates of all 6 atoms:
Tm: 0.000 0.000 0.160
Tm: 0.000 0.000 0.840
Th: 0.000 0.000 0.500
Mg: 0.500 0.500 0.000
Mg: 0.500 0.500 0.321
Mg: 0.500 0.500 0.679

Space group   No. 123


A geometry-optimized Tm3ThMg2 structure, computed with PBE-GGA.

Unit cell a=3.596 b=3.596 c=13.004 alpha=90.00 beta=90.00 gamma=90.00
Fractional coordinates of all 6 atoms:
Tm: 0.000 0.000 0.000
Tm: 0.000 0.000 0.317
Tm: 0.000 0.000 0.683
Th: 0.500 0.500 0.500
Mg: 0.500 0.500 0.157
Mg: 0.500 0.500 0.843

Space group   No. 123


A geometry-optimized TmThMg3 structure, computed with PBE-GGA.

Unit cell a=9.196 b=9.196 c=9.196 alpha=38.40 beta=38.40 gamma=38.40
Fractional coordinates of all 10 atoms:
Tm: 0.064 0.064 0.064
Tm: 0.936 0.936 0.936
Th: 0.334 0.334 0.334
Th: 0.666 0.666 0.666
Mg: 0.114 0.622 0.622
Mg: 0.378 0.378 0.886
Mg: 0.378 0.886 0.378
Mg: 0.622 0.114 0.622
Mg: 0.622 0.622 0.114
Mg: 0.886 0.378 0.378

Space group   No. 166


A geometry-optimized Tm2ThMg structure, computed with PBE-GGA.

Unit cell a=11.190 b=11.190 c=11.190 alpha=18.07 beta=18.07 gamma=18.07
Fractional coordinates of all 4 atoms:
Tm: 0.248 0.248 0.248
Tm: 0.752 0.752 0.752
Th: 0.000 0.000 0.000
Mg: 0.500 0.500 0.500

Space group   No. 166
Offset from the most stable computed form   0.97 kcal/mol of atoms


A geometry-optimized Tm5ThMg6 structure, computed with PBE-GGA.

Unit cell a=5.315 b=7.544 c=8.408 alpha=90.00 beta=108.40 gamma=90.00
Fractional coordinates of all 12 atoms:
Tm: 0.000 0.000 0.000
Tm: 0.336 0.500 0.669
Tm: 0.337 0.000 0.671
Tm: 0.663 0.000 0.329
Tm: 0.664 0.500 0.331
Th: 0.000 0.500 0.000
Mg: 0.168 0.246 0.339
Mg: 0.168 0.754 0.339
Mg: 0.500 0.245 0.000
Mg: 0.500 0.755 0.000
Mg: 0.832 0.246 0.661
Mg: 0.832 0.754 0.661

Space group   No. 10


A geometry-optimized Tm3ThMg12 structure, computed with PBE-GGA.

Unit cell a=4.619 b=4.619 c=18.982 alpha=90.00 beta=90.00 gamma=90.00
Fractional coordinates of all 16 atoms:
Tm: 0.000 0.000 0.000
Tm: 0.000 0.000 0.248
Tm: 0.000 0.000 0.752
Th: 0.000 0.000 0.500
Mg: 0.000 0.500 0.124
Mg: 0.000 0.500 0.371
Mg: 0.000 0.500 0.629
Mg: 0.000 0.500 0.876
Mg: 0.500 0.000 0.124
Mg: 0.500 0.000 0.371
Mg: 0.500 0.000 0.629
Mg: 0.500 0.000 0.876
Mg: 0.500 0.500 0.000
Mg: 0.500 0.500 0.246
Mg: 0.500 0.500 0.500
Mg: 0.500 0.500 0.754

Space group   No. 123


A geometry-optimized TmTh2Mg6 structure, computed with PBE-GGA.

Unit cell a=9.102 b=9.102 c=3.303 alpha=90.00 beta=90.00 gamma=120.00
Fractional coordinates of all 9 atoms:
Tm: 0.000 0.000 0.000
Th: 0.333 0.667 0.000
Th: 0.667 0.333 0.000
Mg: 0.000 0.330 0.500
Mg: 0.000 0.670 0.500
Mg: 0.330 0.000 0.500
Mg: 0.330 0.330 0.500
Mg: 0.670 0.000 0.500
Mg: 0.670 0.670 0.500

Space group   No. 191


A geometry-optimized YTmThMg structure, computed with PBE-GGA.

Unit cell a=3.583 b=3.583 c=9.164 alpha=90.00 beta=90.00 gamma=90.00
Fractional coordinates of all 4 atoms:
Y: 0.000 0.000 0.000
Tm: 0.000 0.000 0.477
Th: 0.500 0.500 0.735
Mg: 0.500 0.500 0.242

Space group   No. 99
Offset from the most stable computed form   0.00 kcal/mol of atoms


A geometry-optimized YTmThMg structure, computed with PBE-GGA.

Unit cell a=5.511 b=5.511 c=5.511 alpha=60.00 beta=60.00 gamma=60.00
Fractional coordinates of all 4 atoms:
Y: 0.000 0.000 0.000
Tm: 0.750 0.750 0.750
Th: 0.500 0.500 0.500
Mg: 0.250 0.250 0.250

Space group   No. 216
Offset from the most stable computed form   2.97 kcal/mol of atoms


Theoretical density / Mg/m³: 10.14; 9.30; 8.89; 9.68; 8.38; 8.52; 8.34; 8.72; 5.37; 8.63; 5.51; 4.43; 8.45; 8.85; 7.12; 6.47; 6.57; 7.78; 5.84; 8.38; 6.35; 4.22; 5.46; 7.26; 7.21
E_form / eV per formula unit: -0.21; -0.35; -0.33; 0.64; 0.73; -0.14; 0.12; -0.01; -0.03; 0.61; 0.04; 0.21; 0.25; 0.31; -0.45; -0.18; -0.04; -0.26; 0.17; 0.03; -0.43; -0.13; -0.01; -0.16; 0.35